[1]
Compound: Rb2YSeBr6
Source: the Alexandria database
Functional: PBE
Structure: optimized geometry

## Properties
Crystal system ... tetragonal
E ... -34.718 eV per cell

Structure (POSCAR):
```
Rb2YSeBr6
1.0
-4.383 4.383 5.382
4.383 -4.383 5.382
4.383 4.383 -5.382
Rb Y Se Br
2 1 1 6
direct
0.250 0.750 0.500
0.750 0.250 0.500
0.000 0.000 0.000
0.500 0.500 0.000
0.223 0.223 0.447
0.223 0.777 0.000
0.264 0.264 0.000
0.736 0.736 0.000
0.777 0.223 0.000
0.777 0.777 0.553
```

***

[2]
Compound: MgTiW3
Source: the Alexandria database
Functional: PBE
Structure: optimized geometry

## Properties
Crystal system ... cubic
Formation enthalpy at 0 K ... 1.720 eV/atom
Relative energy among the computed polymorphs ... 0 meV/atom

Structure (POSCAR):
```
MgTiW3
1.0
4.632 0.000 0.000
0.000 4.632 0.000
0.000 0.000 4.632
Mg Ti W
1 1 3
direct
0.000 0.000 0.000
0.500 0.500 0.500
0.000 0.500 0.500
0.500 0.000 0.500
0.500 0.500 0.000
```

***

[3]
Compound: TiBeF6
Source: the Alexandria database
Functional: PBE
Structure: optimized geometry

## Properties
Crystal system ... trigonal
E ... -48.649 eV per cell

Structure (POSCAR):
```
TiBeF6
1.0
2.517 1.453 4.215
-2.517 1.453 4.215
0.000 -2.906 4.215
Ti Be F
1 1 6
direct
0.000 0.000 0.000
0.500 0.500 0.500
0.193 0.741 0.324
0.259 0.676 0.807
0.324 0.193 0.741
0.676 0.807 0.259
0.741 0.324 0.193
0.807 0.259 0.676
```

***

[4]
Compound: Nd7SmMg4
Source: the Alexandria database
Functional: PBE
Structure: optimized geometry

## Properties
Crystal system ... monoclinic
Formation enthalpy at 0 K ... 0.121 eV/atom

Structure (POSCAR):
```
Nd7SmMg4
1.0
7.741 -2.944 0.000
7.741 2.944 0.000
-5.146 0.000 8.439
Nd Sm Mg
7 1 4
direct
0.000 0.000 0.000
0.246 0.246 0.711
0.302 0.302 0.122
0.419 0.419 0.574
0.581 0.581 0.426
0.698 0.698 0.878
0.754 0.754 0.289
0.500 0.500 0.000
0.038 0.038 0.695
0.175 0.175 0.345
0.825 0.825 0.655
0.962 0.962 0.305
```

***

[5]
Compound: Nb2AgBiI
Source: the Alexandria database
Functional: PBE
Structure: optimized geometry

## Properties
Crystal system ... tetragonal
E ... -19.104 eV per cell

Structure (POSCAR):
```
Nb2AgBiI
1.0
5.314 0.000 0.000
0.000 5.314 0.000
0.000 0.000 6.162
Nb Ag Bi I
2 1 1 1
direct
0.000 0.500 0.000
0.500 0.000 0.000
0.000 0.000 0.500
0.500 0.500 0.000
0.500 0.500 0.500
```

***

[6]
Compound: ZrS2NCl
Source: the Alexandria database
Functional: PBE
Structure: optimized geometry

## Properties
Crystal system ... tetragonal
Relative energy among the computed polymorphs ... 44 meV/atom

Structure (POSCAR):
```
ZrS2NCl
1.0
4.985 0.000 0.000
0.000 4.985 0.000
0.000 0.000 5.159
Zr S N Cl
1 2 1 1
direct
0.000 0.000 0.000
0.000 0.500 0.000
0.500 0.000 0.000
0.500 0.500 0.500
0.000 0.000 0.500
```

***

[7]
Compound: TaIn2W
Source: the Alexandria database
Functional: PBE
Structure: optimized geometry

## Properties
Crystal system ... tetragonal
Formation enthalpy at 0 K ... 0.318 eV/atom
Relative energy among the computed polymorphs ... 0 meV/atom

Structure (POSCAR):
```
TaIn2W
1.0
3.527 0.000 0.000
0.000 3.527 0.000
0.000 0.000 6.302
Ta In W
1 2 1
direct
0.000 0.000 0.000
0.000 0.000 0.461
0.500 0.500 0.727
0.500 0.500 0.196
```

***

[8]
Compound: CePm2Ga6
Source: the Alexandria database
Functional: PBE
Structure: optimized geometry

## Properties
Crystal system ... hexagonal
Formation enthalpy at 0 K ... -0.652 eV/atom
Relative energy among the computed polymorphs ... 0 meV/atom

Structure (POSCAR):
```
CePm2Ga6
1.0
7.396 0.000 0.000
-3.698 6.405 0.000
0.000 0.000 4.231
Ce Pm Ga
1 2 6
direct
0.000 0.000 0.000
0.333 0.667 0.000
0.667 0.333 0.000
0.000 0.333 0.500
0.000 0.667 0.500
0.333 0.000 0.500
0.333 0.333 0.500
0.667 0.000 0.500
0.667 0.667 0.500
```

***

Repeat the first record exactly.
Compound: Rb2YSeBr6
Source: the Alexandria database
Functional: PBE
Structure: optimized geometry

## Properties
Crystal system ... tetragonal
E ... -34.718 eV per cell

Structure (POSCAR):
```
Rb2YSeBr6
1.0
-4.383 4.383 5.382
4.383 -4.383 5.382
4.383 4.383 -5.382
Rb Y Se Br
2 1 1 6
direct
0.250 0.750 0.500
0.750 0.250 0.500
0.000 0.000 0.000
0.500 0.500 0.000
0.223 0.223 0.447
0.223 0.777 0.000
0.264 0.264 0.000
0.736 0.736 0.000
0.777 0.223 0.000
0.777 0.777 0.553
```

***

Number 1 is which compound? Rb2YSeBr6

***

What is the formula in the fourth record? Nd7SmMg4